No. 1
Nb2HgHN | PBE | relaxed

## Properties
SG: P4/mmm
Total magnetic moment, μB per cell: 1.357
Uncorrected energy, eV for the cell shown: -21.85

Cell lengths 5.2015, 5.2015, 3.2286 Å; angles 90.00, 90.00, 90.00 degrees
With the nearest neighbours (Å) after each atom.
Sites, in units of the cell vectors:
Nb 0.0000 0.5000 0.0000  2 Hg 2.60
Nb 0.5000 0.0000 0.0000  2 Hg 2.60
Hg 0.0000 0.0000 0.0000  2 H 1.61
H 0.0000 0.0000 0.5000  2 Hg 1.61
N 0.5000 0.5000 0.5000  8 Nb 3.06, 2 N 3.23

***

No. 2
Ba2ZrCo | PBE | relaxed

## Properties
Energy above the lowest structure with this stoichiometry, meV/atom: 830
SG: Fm-3m
Total magnetic moment, μB per cell: 2.596
Energy of formation, kJ per mole of atoms: 104.54

Cell lengths 5.5876, 5.5876, 5.5876 Å; angles 60.00, 60.00, 60.00 degrees
With the nearest neighbours (Å) after each atom.
Sites, in units of the cell vectors:
Ba 0.2500 0.2500 0.2500  4 Zr 3.42, 4 Co 3.42
Ba 0.7500 0.7500 0.7500  4 Zr 3.42, 4 Co 3.42
Zr 0.0000 0.0000 0.0000  8 Ba 3.42
Co 0.5000 0.5000 0.5000  8 Ba 3.42

***

No. 3
CdNiMo2 | PBE | relaxed

## Properties
SG: P4/mmm
Total magnetic moment, μB per cell: 0.005
Energy of formation, kJ per mole of atoms: 34.98

Cell lengths 3.2972, 3.2972, 5.9084 Å; angles 90.00, 90.00, 90.00 degrees
With the nearest neighbours (Å) after each atom.
Sites, in units of the cell vectors:
Cd 0.0000 0.0000 0.0000  8 Mo 2.94, 2 Ni 2.95
Ni 0.0000 0.0000 0.5000  8 Mo 2.61
Mo 0.5000 0.5000 0.3021  1 Mo 2.34, 4 Ni 2.61
Mo 0.5000 0.5000 0.6979  1 Mo 2.34, 4 Ni 2.61

***

Short version: Fermi-level density of states = 3.224 7.606 3.961 states/eV/f.u., in the order given.